! Mg2ZnInF | the Alexandria database | PBE-GGA | relaxed; values from VASP
&SYSTEM
  ibrav = 0, nat = 5, ntyp = 4
/
ATOMIC_SPECIES
Mg 24.30 Mg.upf
Zn 65.41 Zn.upf
In 114.82 In.upf
F 19.00 F.upf
ATOMIC_POSITIONS angstrom
Mg 0.000 2.777 0.000
Mg 2.777 0.000 0.000
Zn 0.000 0.000 2.286
In 2.777 2.777 0.000
F 2.777 2.777 2.286
CELL_PARAMETERS angstrom
5.554 0.000 0.000
0.000 5.554 0.000
0.000 0.000 4.572
! Space group: P4/mmm
! Raw total energy, eV/atom: -2.06
! Uncorrected formation energy, eV/atom: -0.241